(1)
Computed, not measured: a relaxed K3Tb2ThS6 crystal at the PBE level of DFT.

Computed properties:
Density ... 4.4 g/cm³
Energy relative to the elements, uncorrected ... -174.7 kJ per mole of atoms

Geometry as CIF:
```
data_K3Tb2ThS6
_chemical_formula_sum 'K6 Tb4 Th2 S12'
_cell_length_a 18.923
_cell_length_b 4.080
_cell_length_c 8.793
_cell_angle_alpha 90.00
_cell_angle_beta 108.96
_cell_angle_gamma 90.00
_space_group_name_H-M_alt 'C 1 2/m 1'
_space_group_IT_number 12
_space_group_name_Hall '-C 2y'
loop_
_atom_site_label
_atom_site_type_symbol
_atom_site_fract_x
_atom_site_fract_y
_atom_site_fract_z
_atom_site_occupancy
K1 K 0.000 0.000 0.000 1
K2 K 0.168 0.500 0.331 1
Tb1 Tb 0.169 0.500 0.839 1
Th1 Th 0.000 0.000 0.500 1
S1 S 0.010 0.500 0.731 1
S2 S 0.157 0.000 0.610 1
S3 S 0.177 0.000 0.058 1
```

***

(2)
Computed, not measured: a relaxed Li2FeH3 crystal at the PBE level of DFT.

Computed properties:
VASP energy ... -47.2 eV for the cell shown
Density ... 2.9 g/cm³

Geometry as CIF:
```
data_Li2FeH3
_chemical_formula_sum 'Li4 Fe2 H6'
_cell_length_a 2.630
_cell_length_b 3.712
_cell_length_c 8.426
_cell_angle_alpha 90.00
_cell_angle_beta 90.00
_cell_angle_gamma 90.00
_space_group_name_H-M_alt 'I m m m'
_space_group_IT_number 71
_space_group_name_Hall '-I 2 2'
loop_
_atom_site_label
_atom_site_type_symbol
_atom_site_fract_x
_atom_site_fract_y
_atom_site_fract_z
_atom_site_occupancy
Li1 Li 0.000 0.000 0.163 1
Fe1 Fe 0.000 0.000 0.500 1
H1 H 0.000 0.500 0.134 1
H2 H 0.000 0.500 0.500 1
```

***

(3)
Computed, not measured: a relaxed MnV2H6 crystal at the PBE level of DFT.

Computed properties:
VASP energy ... -97.6 eV for the cell shown
Density ... 5.0 g/cm³

Geometry as CIF:
```
data_MnV2H6
_chemical_formula_sum 'Mn2 V4 H12'
_cell_length_a 2.960
_cell_length_b 4.178
_cell_length_c 8.802
_cell_angle_alpha 90.00
_cell_angle_beta 90.00
_cell_angle_gamma 90.00
_space_group_name_H-M_alt 'I m m m'
_space_group_IT_number 71
_space_group_name_Hall '-I 2 2'
loop_
_atom_site_label
_atom_site_type_symbol
_atom_site_fract_x
_atom_site_fract_y
_atom_site_fract_z
_atom_site_occupancy
Mn1 Mn 0.000 0.000 0.000 1
V1 V 0.000 0.000 0.334 1
H1 H 0.000 0.249 0.165 1
H2 H 0.000 0.260 0.500 1
```

***

DOS(E_F) for the records above, in order: 8.6, 2.2, 6.5 states/eV/cell